This record from Alexandria via LeMat-Bulk describes a relaxed structure of AlSb2TePd. The functional is PBE-GGA.

Summary:
**E above lowest polymorph**: 0 meV/atom
**Uncorrected formation energy**: 2.22 eV per formula unit

Unit cell a=5.1943 b=5.1943 c=5.4857 alpha=90.00 beta=90.00 gamma=90.00
Atoms (fractional coordinates):
Te (0.0000, 0.0000, 0.5000)
Sb (0.5000, 0.0000, 0.0000)
Pd (0.0000, 0.0000, 0.0000)
Sb (0.0000, 0.5000, 0.0000)
Al (0.5000, 0.5000, 0.5000)

---

This record from Alexandria via LeMat-Bulk describes a relaxed structure of NiP2RhS. The functional is PBE-GGA.

Summary:
**E above lowest polymorph**: 81 meV/atom
**Uncorrected formation energy**: -1.39 eV per formula unit

Unit cell a=3.4626 b=3.8490 c=7.0224 alpha=86.01 beta=89.92 gamma=63.55
Atoms (fractional coordinates):
S (0.9150, 0.8986, 0.3109)
P (0.5394, 0.6482, 0.8732)
P (0.7194, 0.2911, 0.6362)
Rh (0.8710, 0.9884, 0.9685)
Ni (0.2534, 0.2234, 0.4468)

---

This record from Alexandria via LeMat-Bulk describes a relaxed structure of CaPrEuPb. The functional is PBE-GGA.

Summary:
**ΔH_f (0 K)**: -0.86 eV/f.u.

Unit cell a=5.7386 b=5.7386 c=5.7386 alpha=60.00 beta=60.00 gamma=60.00
Each line ends with the local moment (μB).
Atoms (fractional coordinates):
Pb (0.2500, 0.2500, 0.2500)  -0.02
Eu (0.5000, 0.5000, 0.5000)  6.88
Ca (0.7500, 0.7500, 0.7500)  0.03
Pr (0.0000, 0.0000, 0.0000)  0.08

---

Number 1: VASP energy -18.1 eV per formula unit, total magnetic moment 0.00 Bohr magnetons per cell. Number 2: VASP energy -29.5 eV per formula unit, total magnetic moment 0.00 Bohr magnetons per cell. Number 3: VASP energy -21.6 eV per formula unit, total magnetic moment 7.41 Bohr magnetons per cell.